Entry 1:
Material: TmFeB4
Method: DFT, SCAN
State: single point on PBEsol structure

a b c (Å): 3.288 5.817 11.255
angles (deg): 90.00 90.00 90.00
Fractional coordinates of all 24 atoms:
B  0.000  0.362  0.968
B  0.000  0.024  0.191
Fe  0.500  0.133  0.912
B  0.000  0.283  0.816
B  0.000  0.717  0.184
B  0.000  0.638  0.032
Tm  0.500  0.627  0.850
B  0.000  0.476  0.691
B  0.000  0.862  0.532
B  0.000  0.888  0.954
B  0.000  0.976  0.809
B  0.000  0.217  0.316
B  0.000  0.388  0.546
B  0.000  0.783  0.684
B  0.000  0.138  0.468
B  0.000  0.612  0.454
Fe  0.500  0.367  0.412
Fe  0.500  0.867  0.088
Tm  0.500  0.127  0.650
Tm  0.500  0.873  0.350
B  0.000  0.524  0.309
Fe  0.500  0.633  0.588
Tm  0.500  0.373  0.150
B  0.000  0.112  0.046

## Properties
- formation energy (eV per atom) = -0.67
- V (A^3/atom) = 8.97
- theoretical density (Mg/m³) = 8.269
- SG = No. 55

---

Entry 2:
Material: UFe4B
Method: DFT, SCAN
State: single point on PBEsol structure

a b c (Å): 4.821 4.821 6.823
angles (deg): 90.00 90.00 120.00
Site moments in Bohr magnetons follow the coordinates.
Fractional coordinates of all 12 atoms:
U  0.000  0.000  0.500  -2.17
Fe  0.500  0.500  0.718  1.87
B  0.333  0.667  0.500  -0.16
Fe  0.500  0.500  0.282  1.87
Fe  0.333  0.667  0.000  2.37
Fe  0.500  0.000  0.282  1.87
Fe  0.000  0.500  0.282  1.87
Fe  0.500  0.000  0.718  1.87
Fe  0.000  0.500  0.718  1.87
U  0.000  0.000  0.000  -2.29
Fe  0.667  0.333  0.000  2.37
B  0.667  0.333  0.500  -0.16

## Properties
- formation energy (eV per atom) = -0.02
- V (A^3/atom) = 11.44
- theoretical density (Mg/m³) = 11.420
- SG = No. 191

---

Entry 3:
Material: UFeB4
Method: DFT, SCAN
State: single point on PBEsol structure

a b c (Å): 3.310 5.844 11.322
angles (deg): 90.00 90.00 90.00
Fractional coordinates of all 24 atoms:
B  0.500  0.025  0.692
B  0.500  0.218  0.813
B  0.500  0.718  0.687
U  0.000  0.873  0.850
U  0.000  0.627  0.350
B  0.500  0.135  0.966
B  0.500  0.525  0.808
B  0.500  0.613  0.954
B  0.500  0.113  0.546
B  0.500  0.865  0.034
U  0.000  0.127  0.150
U  0.000  0.373  0.650
Fe  0.000  0.633  0.088
B  0.500  0.887  0.454
B  0.500  0.365  0.466
B  0.500  0.782  0.187
Fe  0.000  0.133  0.412
B  0.500  0.975  0.308
B  0.500  0.635  0.534
B  0.500  0.475  0.192
Fe  0.000  0.867  0.588
Fe  0.000  0.367  0.912
B  0.500  0.282  0.313
B  0.500  0.387  0.046

## Properties
- formation energy (eV per atom) = -0.44
- V (A^3/atom) = 9.13
- theoretical density (Mg/m³) = 10.224
- SG = No. 55

---

Entry 4:
Material: FeBW
Method: DFT, SCAN
State: single point on PBEsol structure

a b c (Å): 3.206 5.695 6.653
angles (deg): 90.00 90.00 90.00
Site moments in Bohr magnetons follow the coordinates.
Fractional coordinates of all 12 atoms:
W  0.250  0.528  0.676  -0.07
W  0.750  0.972  0.176  -0.07
B  0.750  0.731  0.870  -0.06
Fe  0.250  0.643  0.057  1.48
B  0.750  0.231  0.630  -0.06
Fe  0.250  0.143  0.443  1.48
B  0.250  0.269  0.130  -0.06
W  0.250  0.028  0.824  -0.07
Fe  0.750  0.857  0.557  1.48
B  0.250  0.769  0.370  -0.06
Fe  0.750  0.357  0.943  1.48
W  0.750  0.472  0.324  -0.07

## Properties
- formation energy (eV per atom) = -0.28
- V (A^3/atom) = 10.12
- theoretical density (Mg/m³) = 13.697
- SG = No. 62

---

What did the third record say?
Material: UFeB4
Method: DFT, SCAN
State: single point on PBEsol structure

a b c (Å): 3.310 5.844 11.322
angles (deg): 90.00 90.00 90.00
Fractional coordinates of all 24 atoms:
B  0.500  0.025  0.692
B  0.500  0.218  0.813
B  0.500  0.718  0.687
U  0.000  0.873  0.850
U  0.000  0.627  0.350
B  0.500  0.135  0.966
B  0.500  0.525  0.808
B  0.500  0.613  0.954
B  0.500  0.113  0.546
B  0.500  0.865  0.034
U  0.000  0.127  0.150
U  0.000  0.373  0.650
Fe  0.000  0.633  0.088
B  0.500  0.887  0.454
B  0.500  0.365  0.466
B  0.500  0.782  0.187
Fe  0.000  0.133  0.412
B  0.500  0.975  0.308
B  0.500  0.635  0.534
B  0.500  0.475  0.192
Fe  0.000  0.867  0.588
Fe  0.000  0.367  0.912
B  0.500  0.282  0.313
B  0.500  0.387  0.046

## Properties
- formation energy (eV per atom) = -0.44
- V (A^3/atom) = 9.13
- theoretical density (Mg/m³) = 10.224
- SG = No. 55

---

Q: Among the records above, which one has the highest formation energy?
A: UFe4B

---

Q: Which formula does entry 3 have?
A: UFeB4